(1)
## GeHW2 (GGA-PBE)

Data for a relaxed GeHW2 crystal.

- crystal system = trigonal
- total magnetic moment (μB/f.u.) = 0.00
- space group = R-3m
- total energy (eV/cell) = -30.90
- ρ (g cm⁻³) = 13.1

CIF file:
```
data_GeHW2
_chemical_formula_sum 'Ge1 H1 W2'
_cell_length_a 2.8127
_cell_length_b 2.8127
_cell_length_c 8.2968
_cell_angle_alpha 80.24
_cell_angle_beta 80.24
_cell_angle_gamma 60.00
_space_group_name_H-M_alt 'P 1'
_space_group_IT_number 1
_space_group_name_Hall 'P 1'
loop_
_atom_site_label
_atom_site_fract_x
_atom_site_fract_y
_atom_site_fract_z
H1 0.0000 0.0000 0.0000
W1 0.0737 0.0737 0.7788
W2 0.9263 0.9263 0.2212
Ge1 0.5000 0.5000 0.5000
```

(2)
## GeH2W (GGA-PBE)

Data for a relaxed GeH2W crystal.

- crystal system = tetragonal
- total magnetic moment (μB/f.u.) = 0.00
- space group = I-42d
- total energy (eV/cell) = -45.76
- ρ (g cm⁻³) = 10.6

CIF file:
```
data_GeH2W
_chemical_formula_sum 'Ge2 H4 W2'
_cell_length_a 5.6355
_cell_length_b 5.6355
_cell_length_c 4.7333
_cell_angle_alpha 53.47
_cell_angle_beta 53.47
_cell_angle_gamma 90.00
_space_group_name_H-M_alt 'P 1'
_space_group_IT_number 1
_space_group_name_Hall 'P 1'
loop_
_atom_site_label
_atom_site_fract_x
_atom_site_fract_y
_atom_site_fract_z
Ge1 0.5000 0.5000 0.0000
H1 0.3750 0.3006 0.7500
W1 0.7500 0.2500 0.5000
H2 0.6994 0.1250 0.2500
H3 0.8750 0.9494 0.7500
H4 0.0506 0.6250 0.2500
W2 0.0000 0.0000 0.0000
Ge2 0.2500 0.7500 0.5000
```

(3)
## Ge2HW2 (GGA-PBE)

Data for a relaxed Ge2HW2 crystal.

- crystal system = tetragonal
- total magnetic moment (μB/f.u.) = 0.00
- space group = P4/mbm
- total energy (eV/cell) = -67.94
- ρ (g cm⁻³) = 11.6

CIF file:
```
data_Ge2HW2
_chemical_formula_sum 'Ge4 H2 W4'
_cell_length_a 6.4417
_cell_length_b 6.4417
_cell_length_c 3.5506
_cell_angle_alpha 90.00
_cell_angle_beta 90.00
_cell_angle_gamma 90.00
_space_group_name_H-M_alt 'P 1'
_space_group_IT_number 1
_space_group_name_Hall 'P 1'
loop_
_atom_site_label
_atom_site_fract_x
_atom_site_fract_y
_atom_site_fract_z
W1 0.3425 0.1575 0.5000
W2 0.6575 0.8425 0.5000
H1 0.5000 0.5000 0.0000
Ge1 0.6471 0.1471 0.0000
W3 0.8425 0.3425 0.5000
Ge2 0.1471 0.3529 0.0000
Ge3 0.8529 0.6471 0.0000
Ge4 0.3529 0.8529 0.0000
W4 0.1575 0.6575 0.5000
H2 0.0000 0.0000 0.0000
```

(4)
## GeH3W (GGA-PBE)

Data for a relaxed GeH3W crystal.

- crystal system = cubic
- total magnetic moment (μB/f.u.) = 0.00
- space group = Pm-3m
- total energy (eV/cell) = -24.64
- ρ (g cm⁻³) = 9.3

CIF file:
```
data_GeH3W
_chemical_formula_sum 'Ge1 H3 W1'
_cell_length_a 3.5937
_cell_length_b 3.5937
_cell_length_c 3.5937
_cell_angle_alpha 90.00
_cell_angle_beta 90.00
_cell_angle_gamma 90.00
_space_group_name_H-M_alt 'P 1'
_space_group_IT_number 1
_space_group_name_Hall 'P 1'
loop_
_atom_site_label
_atom_site_fract_x
_atom_site_fract_y
_atom_site_fract_z
H1 0.0000 0.0000 0.5000
H2 0.0000 0.5000 0.0000
W1 0.0000 0.0000 0.0000
H3 0.5000 0.0000 0.0000
Ge1 0.5000 0.5000 0.5000
```

(5)
## ZnGeHW2 (GGA-PBE)

Data for a relaxed ZnGeHW2 crystal.

- crystal system = tetragonal
- total magnetic moment (μB/f.u.) = 0.00
- space group = P4/mmm
- total energy (eV/cell) = -32.27
- ρ (g cm⁻³) = 13.0

CIF file:
```
data_ZnGeHW2
_chemical_formula_sum 'Zn1 Ge1 H1 W2'
_cell_length_a 3.9321
_cell_length_b 4.1980
_cell_length_c 3.9321
_cell_angle_alpha 90.00
_cell_angle_beta 90.00
_cell_angle_gamma 90.00
_space_group_name_H-M_alt 'P 1'
_space_group_IT_number 1
_space_group_name_Hall 'P 1'
loop_
_atom_site_label
_atom_site_fract_x
_atom_site_fract_y
_atom_site_fract_z
Zn1 0.0000 0.5000 0.0000
W1 0.5000 0.0000 0.0000
H1 0.0000 0.0000 0.0000
Ge1 0.5000 0.5000 0.5000
W2 0.0000 0.0000 0.5000
```

(6)
## YGeH (GGA-PBE)

Data for a relaxed YGeH crystal.

- crystal system = orthorhombic
- total magnetic moment (μB/f.u.) = 0.00
- space group = Cmcm
- total energy (eV/cell) = -33.29
- ρ (g cm⁻³) = 5.8

CIF file:
```
data_YGeH
_chemical_formula_sum 'Y2 Ge2 H2'
_cell_length_a 6.0871
_cell_length_b 6.0871
_cell_length_c 4.0219
_cell_angle_alpha 90.00
_cell_angle_beta 90.00
_cell_angle_gamma 140.98
_space_group_name_H-M_alt 'P 1'
_space_group_IT_number 1
_space_group_name_Hall 'P 1'
loop_
_atom_site_label
_atom_site_fract_x
_atom_site_fract_y
_atom_site_fract_z
H1 0.7541 0.2459 0.7500
Y1 0.3502 0.6498 0.7500
Ge1 0.9342 0.0658 0.2500
Y2 0.6498 0.3502 0.2500
Ge2 0.0658 0.9342 0.7500
H2 0.2459 0.7541 0.2500
```

(7)
## YGeH2 (GGA-PBE)

Data for a relaxed YGeH2 crystal.

- crystal system = tetragonal
- total magnetic moment (μB/f.u.) = 0.00
- space group = I-42d
- total energy (eV/cell) = -36.46
- ρ (g cm⁻³) = 4.8

CIF file:
```
data_YGeH2
_chemical_formula_sum 'Y2 Ge2 H4'
_cell_length_a 4.2326
_cell_length_b 4.2326
_cell_length_c 7.0378
_cell_angle_alpha 72.50
_cell_angle_beta 72.50
_cell_angle_gamma 90.00
_space_group_name_H-M_alt 'P 1'
_space_group_IT_number 1
_space_group_name_Hall 'P 1'
loop_
_atom_site_label
_atom_site_fract_x
_atom_site_fract_y
_atom_site_fract_z
Ge1 0.2500 0.7500 0.5000
Y1 0.0000 0.0000 0.0000
Y2 0.7500 0.2500 0.5000
H1 0.8750 0.8761 0.7500
H2 0.3750 0.3739 0.7500
H3 0.6261 0.1250 0.2500
H4 0.1239 0.6250 0.2500
Ge2 0.5000 0.5000 0.0000
```

(8)
## Y2Ge2H (GGA-PBE)

Data for a relaxed Y2Ge2H crystal.

- crystal system = tetragonal
- total magnetic moment (μB/f.u.) = 0.98
- space group = I4/mmm
- total energy (eV/cell) = -25.58
- ρ (g cm⁻³) = 4.8

CIF file:
```
data_Y2Ge2H
_chemical_formula_sum 'Y2 Ge2 H1'
_cell_length_a 3.7555
_cell_length_b 3.7555
_cell_length_c 8.3096
_cell_angle_alpha 76.94
_cell_angle_beta 76.94
_cell_angle_gamma 90.00
_space_group_name_H-M_alt 'P 1'
_space_group_IT_number 1
_space_group_name_Hall 'P 1'
loop_
_atom_site_label
_atom_site_fract_x
_atom_site_fract_y
_atom_site_fract_z
Ge1 0.2500 0.7500 0.5000
Y1 0.3945 0.3945 0.2111
H1 0.0000 0.0000 0.0000
Ge2 0.7500 0.2500 0.5000
Y2 0.6055 0.6055 0.7889
```

(9)
## Y2GeH (GGA-PBE)

Data for a relaxed Y2GeH crystal.

- crystal system = trigonal
- total magnetic moment (μB/f.u.) = 0.44
- space group = R-3m
- total energy (eV/cell) = -23.06
- ρ (g cm⁻³) = 4.9

CIF file:
```
data_Y2GeH
_chemical_formula_sum 'Y2 Ge1 H1'
_cell_length_a 4.1094
_cell_length_b 4.1094
_cell_length_c 6.2680
_cell_angle_alpha 70.86
_cell_angle_beta 70.86
_cell_angle_gamma 60.00
_space_group_name_H-M_alt 'P 1'
_space_group_IT_number 1
_space_group_name_Hall 'P 1'
loop_
_atom_site_label
_atom_site_fract_x
_atom_site_fract_y
_atom_site_fract_z
Ge1 0.0000 0.0000 0.0000
Y1 0.2446 0.2446 0.2662
H1 0.5000 0.5000 0.5000
Y2 0.7554 0.7554 0.7338
```

(10)
## YGeH (GGA-PBE)

Data for a relaxed YGeH crystal.

- crystal system = trigonal
- total magnetic moment (μB/f.u.) = 0.00
- space group = P3m1
- total energy (eV/cell) = -16.00
- ρ (g cm⁻³) = 5.2

CIF file:
```
data_YGeH
_chemical_formula_sum 'Y1 Ge1 H1'
_cell_length_a 4.6991
_cell_length_b 3.5856
_cell_length_c 3.5856
_cell_angle_alpha 120.00
_cell_angle_beta 90.00
_cell_angle_gamma 90.00
_space_group_name_H-M_alt 'P 1'
_space_group_IT_number 1
_space_group_name_Hall 'P 1'
loop_
_atom_site_label
_atom_site_fract_x
_atom_site_fract_y
_atom_site_fract_z
Y1 0.1663 0.0000 0.0000
H1 0.1674 0.3333 0.6667
Ge1 0.6664 0.6667 0.3333
```

(11)
## YGeH2 (GGA-PBE)

Data for a relaxed YGeH2 crystal.

- crystal system = cubic
- total magnetic moment (μB/f.u.) = 0.00
- space group = Fm-3m
- total energy (eV/cell) = -18.23
- ρ (g cm⁻³) = 5.4

CIF file:
```
data_YGeH2
_chemical_formula_sum 'Y1 Ge1 H2'
_cell_length_a 4.1392
_cell_length_b 4.1392
_cell_length_c 4.1392
_cell_angle_alpha 60.00
_cell_angle_beta 60.00
_cell_angle_gamma 60.00
_space_group_name_H-M_alt 'P 1'
_space_group_IT_number 1
_space_group_name_Hall 'P 1'
loop_
_atom_site_label
_atom_site_fract_x
_atom_site_fract_y
_atom_site_fract_z
Ge1 0.0000 0.0000 0.0000
H1 0.7500 0.7500 0.7500
H2 0.2500 0.2500 0.2500
Y1 0.5000 0.5000 0.5000
```

(12)
## YGeH (GGA-PBE)

Data for a relaxed YGeH crystal.

- crystal system = orthorhombic
- total magnetic moment (μB/f.u.) = 0.00
- space group = Pnma
- total energy (eV/cell) = -62.68
- ρ (g cm⁻³) = 4.9

CIF file:
```
data_YGeH
_chemical_formula_sum 'Y4 Ge4 H4'
_cell_length_a 6.9019
_cell_length_b 7.5568
_cell_length_c 4.2523
_cell_angle_alpha 90.00
_cell_angle_beta 90.00
_cell_angle_gamma 90.00
_space_group_name_H-M_alt 'P 1'
_space_group_IT_number 1
_space_group_name_Hall 'P 1'
loop_
_atom_site_label
_atom_site_fract_x
_atom_site_fract_y
_atom_site_fract_z
Ge1 0.3344 0.2500 0.0397
Ge2 0.1656 0.7500 0.5397
H1 0.4832 0.7500 0.2298
Y1 0.5000 0.0000 0.5000
H2 0.9832 0.7500 0.2702
H3 0.5168 0.2500 0.7702
Y2 0.0000 0.5000 0.0000
Y3 0.5000 0.5000 0.5000
H4 0.0168 0.2500 0.7298
Ge3 0.6656 0.7500 0.9603
Y4 0.0000 0.0000 0.0000
Ge4 0.8344 0.2500 0.4603
```